Here is Ba3Zn6Au5 after structural relaxation from Alexandria. Energies are from PBE.

Values from the calculation:
For the formation energy from the elements, the calculation gives -0.46 eV per atom. The symmetry is No. 59. The magnetization comes out at 0.0 μB/f.u.

abc: 4.573 13.542 10.864
angles: 90.00 90.00 90.00
Positions (direct):
Ba 0.250 0.092 0.247
Ba 0.250 0.408 0.247
Ba 0.250 0.750 0.248
Ba 0.750 0.250 0.752
Ba 0.750 0.592 0.753
Ba 0.750 0.908 0.753
Zn 0.250 0.062 0.910
Zn 0.250 0.250 0.518
Zn 0.250 0.250 0.998
Zn 0.250 0.438 0.910
Zn 0.250 0.572 0.491
Zn 0.250 0.928 0.491
Zn 0.750 0.072 0.509
Zn 0.750 0.428 0.509
Zn 0.750 0.562 0.090
Zn 0.750 0.750 0.002
Zn 0.750 0.750 0.482
Zn 0.750 0.938 0.090
Au 0.250 0.077 0.653
Au 0.250 0.423 0.653
Au 0.250 0.633 0.980
Au 0.250 0.750 0.598
Au 0.250 0.867 0.980
Au 0.750 0.133 0.020
Au 0.750 0.250 0.402
Au 0.750 0.367 0.020
Au 0.750 0.577 0.347
Au 0.750 0.923 0.347